1.
# MnPOs | Alexandria | PBE-GGA | optimized geometry
data_MnPOs
_symmetry_space_group_name_H-M 'P 1'
_symmetry_Int_Tables_number 1
_symmetry_space_group_name_Hall 'P 1'
_cell_length_a 3.952
_cell_length_b 3.952
_cell_length_c 2.749
_cell_angle_alpha 90.00
_cell_angle_beta 90.00
_cell_angle_gamma 120.00
loop_
_atom_site_label
_atom_site_fract_x
_atom_site_fract_y
_atom_site_fract_z
_atom_site_occupancy
Mn1 0.000 0.000 0.000 1
P1 0.333 0.667 0.783 1
Os1 0.667 0.333 0.520 1
# calculated density: 12.33 g/cm3
# DFT formation energy: -0.015 eV/atom
# space-group type: P3m1

***

2.
# LuAgIr4 | Alexandria | PBE-GGA | optimized geometry
data_LuAgIr4
_symmetry_space_group_name_H-M 'P 1'
_symmetry_Int_Tables_number 1
_symmetry_space_group_name_Hall 'P 1'
_cell_length_a 5.264
_cell_length_b 5.264
_cell_length_c 5.264
_cell_angle_alpha 60.00
_cell_angle_beta 60.00
_cell_angle_gamma 60.00
loop_
_atom_site_label
_atom_site_fract_x
_atom_site_fract_y
_atom_site_fract_z
_atom_site_occupancy
Lu1 0.000 0.000 0.000 1
Ag1 0.750 0.750 0.750 1
Ir1 0.375 0.375 0.375 1
Ir2 0.375 0.375 0.875 1
Ir3 0.375 0.875 0.375 1
Ir4 0.875 0.375 0.375 1
# calculated density: 16.93 g/cm3
# DFT formation energy: -0.276 eV/atom
# space-group type: F-43m

***

3.
# PrHo2Ga | Alexandria | PBE-GGA | optimized geometry
data_PrHo2Ga
_symmetry_space_group_name_H-M 'P 1'
_symmetry_Int_Tables_number 1
_symmetry_space_group_name_Hall 'P 1'
_cell_length_a 3.508
_cell_length_b 3.508
_cell_length_c 33.805
_cell_angle_alpha 90.00
_cell_angle_beta 90.00
_cell_angle_gamma 120.00
loop_
_atom_site_label
_atom_site_fract_x
_atom_site_fract_y
_atom_site_fract_z
_atom_site_occupancy
Pr1 0.000 0.000 0.000 1
Pr2 0.333 0.667 0.667 1
Pr3 0.667 0.333 0.333 1
Ho1 0.000 0.000 0.103 1
Ho2 0.000 0.000 0.897 1
Ho3 0.333 0.667 0.564 1
Ho4 0.333 0.667 0.770 1
Ho5 0.667 0.333 0.230 1
Ho6 0.667 0.333 0.436 1
Ga1 0.000 0.000 0.500 1
Ga2 0.333 0.667 0.167 1
Ga3 0.667 0.333 0.833 1
# energy relative to the lowest polymorph listed for this composition: 0.246 eV/atom
# calculated density: 7.47 g/cm3
# DFT formation energy: -0.041 eV/atom
# space-group type: R-3m

***

4.
# LiZrGaI | Alexandria | PBE-GGA | optimized geometry
data_LiZrGaI
_symmetry_space_group_name_H-M 'P 1'
_symmetry_Int_Tables_number 1
_symmetry_space_group_name_Hall 'P 1'
_cell_length_a 8.002
_cell_length_b 4.621
_cell_length_c 5.957
_cell_angle_alpha 90.00
_cell_angle_beta 90.09
_cell_angle_gamma 90.00
loop_
_atom_site_label
_atom_site_fract_x
_atom_site_fract_y
_atom_site_fract_z
_atom_site_occupancy
Li1 0.000 0.000 0.000 1
Li2 0.500 0.500 0.000 1
Zr1 0.166 0.500 0.720 1
Zr2 0.666 0.000 0.720 1
Ga1 0.333 0.000 0.801 1
Ga2 0.833 0.500 0.801 1
I1 0.167 0.500 0.241 1
I2 0.667 0.000 0.241 1
# energy relative to the lowest polymorph listed for this composition: 0.221 eV/atom
# calculated density: 4.44 g/cm3
# space-group type: Cm
# energy relative to the elements, uncorrected: -0.13 eV per atom

***

5.
# MnHg4Br | Alexandria | PBE-GGA | optimized geometry
data_MnHg4Br
_symmetry_space_group_name_H-M 'P 1'
_symmetry_Int_Tables_number 1
_symmetry_space_group_name_Hall 'P 1'
_cell_length_a 6.142
_cell_length_b 6.142
_cell_length_c 6.142
_cell_angle_alpha 60.00
_cell_angle_beta 60.00
_cell_angle_gamma 60.00
loop_
_atom_site_label
_atom_site_fract_x
_atom_site_fract_y
_atom_site_fract_z
_atom_site_occupancy
Mn1 0.000 0.000 0.000 1
Hg1 0.375 0.375 0.375 1
Hg2 0.375 0.375 0.875 1
Hg3 0.375 0.875 0.375 1
Hg4 0.875 0.375 0.375 1
Br1 0.750 0.750 0.750 1
# calculated density: 9.50 g/cm3
# space-group type: F-43m
# energy relative to the elements, uncorrected: 0.31 eV per atom

***

6.
# CrCIN2 | Alexandria | PBE-GGA | optimized geometry
data_CrCIN2
_symmetry_space_group_name_H-M 'P 1'
_symmetry_Int_Tables_number 1
_symmetry_space_group_name_Hall 'P 1'
_cell_length_a 3.732
_cell_length_b 3.732
_cell_length_c 4.267
_cell_angle_alpha 90.00
_cell_angle_beta 90.00
_cell_angle_gamma 90.00
loop_
_atom_site_label
_atom_site_fract_x
_atom_site_fract_y
_atom_site_fract_z
_atom_site_occupancy
Cr1 0.000 0.000 0.000 1
C1 0.500 0.500 0.500 1
I1 0.500 0.500 0.000 1
N1 0.000 0.500 0.500 1
N2 0.500 0.000 0.500 1
# energy relative to the lowest polymorph listed for this composition: 1.122 eV/atom
# calculated density: 6.12 g/cm3
# space-group type: P4/mmm
# energy relative to the elements, uncorrected: 2.71 eV per atom

***

7.
# YPbW | Alexandria | PBE-GGA | optimized geometry
data_YPbW
_symmetry_space_group_name_H-M 'P 1'
_symmetry_Int_Tables_number 1
_symmetry_space_group_name_Hall 'P 1'
_cell_length_a 3.673
_cell_length_b 3.673
_cell_length_c 10.249
_cell_angle_alpha 90.00
_cell_angle_beta 90.00
_cell_angle_gamma 90.00
loop_
_atom_site_label
_atom_site_fract_x
_atom_site_fract_y
_atom_site_fract_z
_atom_site_occupancy
Y1 0.000 0.000 0.000 1
Y2 0.500 0.500 0.500 1
Pb1 0.000 0.000 0.691 1
Pb2 0.500 0.500 0.191 1
W1 0.000 0.000 0.328 1
W2 0.500 0.500 0.828 1
# energy relative to the lowest polymorph listed for this composition: 0.000 eV/atom
# calculated density: 11.53 g/cm3
# DFT formation energy: 0.467 eV/atom
# space-group type: I4mm

***

8.
# Tb3GaCu2 | Alexandria | PBE-GGA | optimized geometry
data_Tb3GaCu2
_symmetry_space_group_name_H-M 'P 1'
_symmetry_Int_Tables_number 1
_symmetry_space_group_name_Hall 'P 1'
_cell_length_a 3.484
_cell_length_b 3.484
_cell_length_c 10.798
_cell_angle_alpha 90.00
_cell_angle_beta 90.00
_cell_angle_gamma 90.00
loop_
_atom_site_label
_atom_site_fract_x
_atom_site_fract_y
_atom_site_fract_z
_atom_site_occupancy
Tb1 0.000 0.000 0.000 1
Tb2 0.000 0.000 0.326 1
Tb3 0.000 0.000 0.674 1
Ga1 0.500 0.500 0.500 1
Cu1 0.500 0.500 0.162 1
Cu2 0.500 0.500 0.838 1
# calculated density: 8.53 g/cm3
# DFT formation energy: -0.349 eV/atom
# space-group type: P4/mmm